No. 1
Entry from Alexandria via LeMat-Bulk: an optimized crystal structure of InTcPO2 (PBE).

Output
- Calculated total energy: -5.261 eV/atom
- Size of the total moment: 3.64 μB/cell
- E_form (uncorrected): 0.43 eV/atom

Cell lengths 3.9527, 3.9527, 5.6915 Å; angles 90.00, 90.00, 90.00 degrees
With the nearest neighbours (Å) after each atom.
Space group P4/mmm (No. 123)
One atom of each set of equivalent atoms:
In1 0.0000 0.0000 0.0000 (multiplicity 1)  4 O 1.98
Tc1 0.5000 0.5000 0.5000 (multiplicity 1)  4 P 2.80
P1 0.0000 0.0000 0.5000 (multiplicity 1)  4 Tc 2.80, 2 In 2.85
O1 0.0000 0.5000 0.0000 (multiplicity 2)  2 In 1.98

No. 2
Entry from Alexandria via LeMat-Bulk: an optimized crystal structure of Cr3SnBr (PBE).

Output
- Calculated total energy: -5.882 eV/atom
- Size of the total moment: 13.00 μB/cell
- E_form (uncorrected): 1.03 eV/atom

Cell lengths 5.2400, 5.2400, 5.2400 Å; angles 90.00, 90.00, 90.00 degrees
With the nearest neighbours (Å) after each atom.
Space group Pm-3m (No. 221)
One atom of each set of equivalent atoms:
Cr1 0.0000 0.0000 0.5000 (multiplicity 3)  2 Sn 2.62
Sn1 0.0000 0.0000 0.0000 (multiplicity 1)  6 Cr 2.62
Br1 0.5000 0.5000 0.5000 (multiplicity 1)  12 Cr 3.71

No. 3
Entry from Alexandria via LeMat-Bulk: an optimized crystal structure of LiTi2Sn (PBE).

Output
- Calculated total energy: -5.220 eV/atom
- Size of the total moment: 0.00 μB/cell
- Energy of formation from the pure elements: 0.2068 eV per atom

Cell lengths 7.5244, 7.5244, 5.1579 Å; angles 90.00, 90.00, 90.00 degrees
With the nearest neighbours (Å) after each atom.
Space group I-42d (No. 122)
One atom of each set of equivalent atoms:
Li1 0.0000 0.0000 0.0000 (multiplicity 4)  2 Sn 2.58, 4 Ti 2.69
Ti1 0.2408 0.7500 0.1250 (multiplicity 8)  2 Ti 2.58, 2 Li 2.69, 2 Sn 2.79
Sn1 0.0000 0.0000 0.5000 (multiplicity 4)  2 Li 2.58, 4 Ti 2.79

No. 4
Entry from Alexandria via LeMat-Bulk: an optimized crystal structure of PrPt3 (PBE).

Output
- Calculated total energy: -6.401 eV/atom
- Size of the total moment: 0.00 μB/cell
- Energy of formation from the pure elements: -0.6753 eV per atom

Cell lengths 4.2104, 4.2104, 8.6224 Å; angles 90.00, 90.00, 90.00 degrees
With the nearest neighbours (Å) after each atom.
Space group I4/mmm (No. 139)
One atom of each set of equivalent atoms:
Pr1 0.0000 0.0000 0.0000 (multiplicity 2)  12 Pt 2.98-3.01
Pt1 0.0000 0.0000 0.5000 (multiplicity 2)  4 Pr 2.98, 8 Pt 3.01
Pt2 0.0000 0.5000 0.2500 (multiplicity 4)  8 Pt 2.98-3.01, 4 Pr 3.01

No. 5
Entry from Alexandria via LeMat-Bulk: an optimized crystal structure of TcHgRh (PBE).

Output
- Calculated total energy: -5.807 eV/atom
- Size of the total moment: 0.82 μB/cell
- Energy of formation from the pure elements: 0.1990 eV per atom

Cell lengths 2.8620, 2.8620, 12.0800 Å; angles 90.00, 90.00, 90.00 degrees
With the nearest neighbours (Å) after each atom.
Space group I4mm (No. 107)
One atom of each set of equivalent atoms:
Tc1 0.0000 0.0000 0.0000 (multiplicity 2)  4 Rh 2.60, 4 Tc 2.86
Hg1 0.0000 0.0000 0.6831 (multiplicity 2)  4 Hg 2.86, 4 Rh 2.98, 4 Tc 3.00
Rh1 0.0000 0.0000 0.3648 (multiplicity 2)  4 Tc 2.60, 4 Rh 2.86

No. 6
Entry from Alexandria via LeMat-Bulk: an optimized crystal structure of HoZnCuPt (PBE).

Output
- Calculated total energy: -4.566 eV/atom
- Size of the total moment: 0.00 μB/cell
- Energy of formation from the pure elements: -0.5692 eV per atom

Cell lengths 6.5508, 6.5508, 6.5508 Å; angles 90.00, 90.00, 90.00 degrees
With the nearest neighbours (Å) after each atom.
Space group F-43m (No. 216)
One atom of each set of equivalent atoms:
Ho1 0.0000 0.0000 0.0000 (multiplicity 4)  4 Pt 2.84, 4 Cu 2.84
Zn1 0.0000 0.0000 0.5000 (multiplicity 4)  4 Cu 2.84, 4 Pt 2.84
Cu1 0.2500 0.2500 0.2500 (multiplicity 4)  4 Ho 2.84, 4 Zn 2.84
Pt1 0.2500 0.2500 0.7500 (multiplicity 4)  4 Ho 2.84, 4 Zn 2.84

No. 7
Entry from Alexandria via LeMat-Bulk: an optimized crystal structure of PaRhO (PBE).

Output
- Calculated total energy: -9.155 eV/atom
- Size of the total moment: 0.00 μB/cell
- E_form (uncorrected): -1.89 eV/atom

Cell lengths 7.6727, 4.0290, 6.5230 Å; angles 90.00, 90.00, 90.00 degrees
With the nearest neighbours (Å) after each atom.
Space group Pnma (No. 62)
One atom of each set of equivalent atoms:
Pa1 0.1785 0.2500 0.1200 (multiplicity 4)  3 O 2.27-2.40, 1 Rh 2.52
Rh1 0.0563 0.7500 0.3921 (multiplicity 4)  1 Pa 2.52, 2 Rh 2.61
O1 0.1143 0.7500 0.9340 (multiplicity 4)  3 Pa 2.27-2.40

No. 8
Entry from Alexandria via LeMat-Bulk: an optimized crystal structure of LiNd (PBE).

Output
- Calculated total energy: -3.241 eV/atom
- Size of the total moment: 0.00 μB/cell
- Energy of formation from the pure elements: 0.0999 eV per atom

Cell lengths 3.5496, 3.5496, 10.8757 Å; angles 90.00, 90.00, 120.00 degrees
With the nearest neighbours (Å) after each atom.
Space group P-3m1 (No. 164)
One atom of each set of equivalent atoms:
Li1 0.3333 0.6667 0.1054 (multiplicity 2)  3 Li 3.07-3.08
Nd1 0.3333 0.6667 0.6367 (multiplicity 2)  3 Li 3.47, 9 Nd 3.55-3.61